Computed, not measured: BaSmMnS4 after structural relaxation at the PBE level of DFT.

```
BaSmMnS4
1.0
-1.992 -6.222 -1.428
-0.220 -1.337 6.136
-7.069 4.899 0.814
S Mn Ba Sm
8 2 2 2
direct
0.572 0.250 0.415
0.423 0.750 0.145
0.428 0.750 0.585
0.990 0.008 0.278
0.010 0.508 0.722
0.010 0.992 0.722
0.577 0.250 0.855
0.990 0.492 0.278
0.230 0.750 0.323
0.770 0.250 0.677
0.264 0.250 0.063
0.736 0.750 0.937
0.241 0.250 0.557
0.759 0.750 0.443
```

Properties
space group: No. 11
raw formation energy: -1.52 eV per atom